Below is CdCoMoAs after structural relaxation, with properties calculated at the PBE-GGA level.

It has space group F-43m (No. 216), with a = 6.2345 Å, b = 6.2345 Å, c = 6.2345 Å, α = 90.00°, β = 90.00° and γ = 90.00°. Symmetry generates all atoms from Cd at (0.0000, 0.0000, 0.0000), Co at (0.2500, 0.2500, 0.7500), Mo at (0.2500, 0.2500, 0.2500) and As at (0.0000, 0.0000, 0.5000).

Its total DFT energy (no corrections) is -5.417 eV/atom.